Record 1
## CaAc4S7 (PBE)

Data for a geometry-optimized CaAc4S7 structure.

Properties
V: 346.3 Å³/cell
VASP energy: -6.076 eV/atom
total magnetic moment: 0.00 μB/f.u.
symmetry: No. 8

Cell: 4.198 7.295 12.273 Å, 105.14 90.00 106.72°
Element x y z (fractional)
Ca1 0.886 0.772 0.578
Ac1 0.693 0.386 0.797
Ac2 0.307 0.614 0.199
Ac3 0.999 0.998 0.994
Ac4 0.113 0.226 0.432
S1 0.740 0.480 0.357
S2 0.269 0.538 0.650
S3 0.340 0.679 0.952
S4 0.659 0.318 0.049
S5 0.042 0.084 0.776
S6 0.957 0.914 0.215
S7 0.495 0.991 0.501

=====

Record 2
## KBe2Ag2F7 (PBE)

Data for a geometry-optimized KBe2Ag2F7 structure.

Properties
V: 186.6 Å³/cell
VASP energy: -4.697 eV/atom
total magnetic moment: 0.00 μB/f.u.
symmetry: No. 155

Cell: 5.292 5.292 8.278 Å, 71.36 71.36 60.00°
Element x y z (fractional)
K1 0.500 0.500 0.500
Be1 0.930 0.930 0.209
Be2 0.070 0.070 0.791
Ag1 0.690 0.690 0.931
Ag2 0.310 0.310 0.069
F1 0.197 0.916 0.258
F2 0.630 0.197 0.258
F3 0.916 0.630 0.258
F4 0.370 0.084 0.742
F5 0.803 0.370 0.742
F6 0.000 0.000 0.000
F7 0.084 0.803 0.742